1.
The following is a SCAN calculation of YBr2Cl at its PBEsol-relaxed geometry, from Alexandria via LeMat-Bulk.

Geometry as POSCAR:
```
YBr2Cl
1.0
3.704 0.000 0.000
-1.852 6.586 -0.781
0.000 -3.990 5.600
Cl Br Y
1 2 1
Direct
0.586 0.172 0.582
0.750 0.500 0.319
0.930 0.861 0.999
0.234 0.467 0.600
```

## Properties
The calculation puts the formation energy from raw total energies at -8.73 eV per formula unit. Its density of states at the Fermi level is 0.0000 states/eV per atom. As for the total moment: 0.0 μB/f.u. As for the space group: Cm, No. 8. The calculated volume comes out at 31.3 A^3/atom.



2.
The following is a SCAN calculation of YBrCl2 at its PBEsol-relaxed geometry, from Alexandria via LeMat-Bulk.

Geometry as POSCAR:
```
YBrCl2
1.0
-2.247 -1.467 2.844
4.493 -0.869 3.101
-2.838 6.057 0.883
Cl Br Y
2 1 1
Direct
0.000 0.143 0.785
0.000 0.857 0.215
0.500 0.500 0.500
0.500 0.000 0.500
```

## Properties
The calculation puts the formation energy from raw total energies at -9.41 eV per formula unit. Its density of states at the Fermi level is 0.0000 states/eV per atom. As for the total moment: 0.0 μB/f.u. As for the space group: Cmmm, No. 65. The calculated volume comes out at 33.3 A^3/atom.



3.
The following is a SCAN calculation of YBrCl2 at its PBEsol-relaxed geometry, from Alexandria via LeMat-Bulk.

Geometry as POSCAR:
```
YBrCl2
1.0
-3.549 0.044 0.905
2.629 -5.061 3.142
0.470 6.334 1.538
Br Cl Y
1 2 1
Direct
0.185 0.369 0.742
0.999 0.999 0.073
0.832 0.664 0.342
0.484 0.968 0.343
```

## Properties
The calculation puts the formation energy from raw total energies at -9.35 eV per formula unit. Its density of states at the Fermi level is 0.0000 states/eV per atom. As for the total moment: 0.0 μB/f.u. As for the space group: Cm, No. 8. The calculated volume comes out at 28.8 A^3/atom.



4.
The following is a SCAN calculation of YBr2Cl at its PBEsol-relaxed geometry, from Alexandria via LeMat-Bulk.

Geometry as POSCAR:
```
YBr2Cl
1.0
4.033 0.000 0.000
0.000 5.222 -0.050
0.000 -2.549 6.993
Cl Br Y
1 2 1
Direct
0.500 0.000 0.500
0.000 0.363 0.225
0.000 0.637 0.775
0.500 0.500 0.500
```

## Properties
The calculation puts the formation energy from raw total energies at -8.89 eV per formula unit. Its density of states at the Fermi level is 0.0000 states/eV per atom. As for the total moment: 0.0 μB/f.u. As for the space group: Cmmm, No. 65. The calculated volume comes out at 36.7 A^3/atom.



5.
The following is a SCAN calculation of YBr4Cl at its PBEsol-relaxed geometry, from Alexandria via LeMat-Bulk.

Geometry as POSCAR:
```
YBr4Cl
1.0
5.951 0.000 0.000
2.975 5.154 0.000
2.975 1.718 4.859
Cl Br Y
1 4 1
Direct
0.750 0.750 0.750
0.375 0.375 0.375
0.375 0.375 0.876
0.375 0.876 0.375
0.876 0.375 0.375
0.000 0.000 0.000
```

## Properties
The calculation puts the formation energy from raw total energies at -2.21 eV per formula unit. Its density of states at the Fermi level is 0.9293 states/eV per atom. As for the total moment: 0.0 μB/f.u. As for the space group: F-43m, No. 216. The calculated volume comes out at 24.8 A^3/atom.



6.
The following is a SCAN calculation of YBr2Cl at its PBEsol-relaxed geometry, from Alexandria via LeMat-Bulk.

Geometry as POSCAR:
```
YBr2Cl
1.0
-2.135 -2.955 -1.572
-1.653 -1.496 5.056
-4.326 4.741 -3.033
Cl Br Y
1 2 1
Direct
0.000 0.384 0.768
0.000 0.104 0.208
0.500 0.760 0.519
0.500 0.253 0.505
```

## Properties
The calculation puts the formation energy from raw total energies at -8.82 eV per formula unit. Its density of states at the Fermi level is 0.0000 states/eV per atom. As for the total moment: 0.0 μB/f.u. As for the space group: Amm2, No. 38. The calculated volume comes out at 35.9 A^3/atom.



7.
The following is a SCAN calculation of YBr2Cl at its PBEsol-relaxed geometry, from Alexandria via LeMat-Bulk.

Geometry as POSCAR:
```
YBr2Cl
1.0
-2.855 0.678 -3.431
-1.191 -3.448 -2.661
-6.493 -2.247 1.987
Y Cl Br
1 1 2
Direct
0.208 0.208 0.376
0.542 0.542 0.374
0.965 0.965 0.104
0.785 0.785 0.646
```

## Properties
The calculation puts the formation energy from raw total energies at -7.81 eV per formula unit. Its density of states at the Fermi level is 0.0000 states/eV per atom. As for the total moment: 0.0 μB/f.u. As for the space group: R3m, No. 160. The calculated volume comes out at 29.4 A^3/atom.



8.
The following is a SCAN calculation of YBrCl2 at its PBEsol-relaxed geometry, from Alexandria via LeMat-Bulk.

Geometry as POSCAR:
```
YBrCl2
1.0
4.593 0.000 0.000
-2.296 4.599 0.012
0.000 2.283 3.985
Br Y Cl
1 1 2
Direct
0.750 0.500 0.750
0.500 0.000 0.500
0.250 0.500 0.250
0.000 0.000 0.000
```

## Properties
The calculation puts the formation energy from raw total energies at -7.25 eV per formula unit. Its density of states at the Fermi level is 0.0000 states/eV per atom. As for the total moment: 0.0 μB/f.u. As for the space group: I-4m2, No. 119. The calculated volume comes out at 21.0 A^3/atom.



Q: Which calculated density values were calculated for the entries above? A: 3.772, 2.992, 3.451, 3.215, 4.948, 3.290, 4.014, 4.736, in g/cm3.